! CaPrCr2O8 | the Alexandria database | PBE+U | optimized geometry; values from VASP
! - calculated total energy (eV/atom) = -7.2417
&SYSTEM
  ibrav = 0, nat = 12, ntyp = 4
/
ATOMIC_SPECIES
Ca 40.08 Ca.upf
Pr 140.91 Pr.upf
Cr 52.00 Cr.upf
O 16.00 O.upf
CELL_PARAMETERS angstrom
-3.692 3.692 3.218
3.692 -3.692 3.218
3.692 3.692 -3.218
ATOMIC_POSITIONS crystal
Ca 0.000 0.000 0.000
Pr 0.250 0.750 0.500
Cr 0.500 0.500 0.000
Cr 0.750 0.250 0.500
O 0.329 0.149 0.820
O 0.329 0.510 0.180
O 0.413 0.090 0.323
O 0.490 0.671 0.820
O 0.768 0.090 0.677
O 0.851 0.671 0.180
O 0.910 0.232 0.323
O 0.910 0.587 0.677



! CaPrCr2O6 | the Alexandria database | PBE+U | optimized geometry; values from VASP
! - calculated total energy (eV/atom) = -7.6077
&SYSTEM
  ibrav = 0, nat = 20, ntyp = 4
/
ATOMIC_SPECIES
Ca 40.08 Ca.upf
Pr 140.91 Pr.upf
Cr 52.00 Cr.upf
O 16.00 O.upf
CELL_PARAMETERS angstrom
7.707 0.000 0.000
0.000 5.536 0.000
0.000 0.000 5.428
ATOMIC_POSITIONS crystal
Ca 0.000 0.203 0.000
Ca 0.500 0.797 0.500
Pr 0.000 0.705 0.520
Pr 0.500 0.295 0.020
Cr 0.249 0.248 0.511
Cr 0.251 0.752 0.011
Cr 0.749 0.752 0.011
Cr 0.751 0.248 0.511
O 0.000 0.270 0.428
O 0.000 0.773 0.088
O 0.207 0.458 0.802
O 0.209 0.960 0.720
O 0.291 0.040 0.220
O 0.293 0.542 0.302
O 0.500 0.227 0.588
O 0.500 0.730 0.928
O 0.707 0.542 0.302
O 0.709 0.040 0.220
O 0.791 0.960 0.720
O 0.793 0.458 0.802



! CaPuCrO6 | the Alexandria database | PBE+U | optimized geometry; values from VASP
! - calculated total energy (eV/atom) = -8.3824
&SYSTEM
  ibrav = 0, nat = 18, ntyp = 4
/
ATOMIC_SPECIES
Ca 40.08 Ca.upf
Pu 244.00 Pu.upf
Cr 52.00 Cr.upf
O 16.00 O.upf
CELL_PARAMETERS angstrom
5.313 0.000 0.000
-2.657 4.601 0.000
0.000 0.000 10.132
ATOMIC_POSITIONS crystal
Ca 0.000 0.000 0.000
Ca 0.000 0.000 0.500
Pu 0.333 0.667 0.250
Pu 0.667 0.333 0.750
Cr 0.333 0.667 0.750
Cr 0.667 0.333 0.250
O 0.001 0.360 0.643
O 0.001 0.640 0.857
O 0.360 0.001 0.143
O 0.360 0.360 0.357
O 0.360 0.360 0.857
O 0.360 0.999 0.643
O 0.640 0.001 0.357
O 0.640 0.640 0.143
O 0.640 0.640 0.643
O 0.640 0.999 0.857
O 0.999 0.360 0.143
O 0.999 0.640 0.357



! Ca2PuCrO6 | the Alexandria database | PBE+U | optimized geometry; values from VASP
! - calculated total energy (eV/atom) = -8.0873
&SYSTEM
  ibrav = 0, nat = 10, ntyp = 4
/
ATOMIC_SPECIES
Ca 40.08 Ca.upf
Pu 244.00 Pu.upf
Cr 52.00 Cr.upf
O 16.00 O.upf
CELL_PARAMETERS angstrom
5.709 0.000 0.000
0.000 5.709 0.000
0.000 0.000 4.263
ATOMIC_POSITIONS crystal
Ca 0.000 0.500 0.000
Ca 0.500 0.000 0.000
Pu 0.000 0.000 0.597
Cr 0.500 0.500 0.602
O 0.000 0.000 0.104
O 0.256 0.256 0.656
O 0.256 0.744 0.656
O 0.500 0.500 0.133
O 0.744 0.256 0.656
O 0.744 0.744 0.656



! RbCa2CrO | the Alexandria database | PBE+U | optimized geometry; values from VASP
! - E above lowest polymorph (eV per formula unit) = 5.90
&SYSTEM
  ibrav = 0, nat = 5, ntyp = 4
/
ATOMIC_SPECIES
Rb 85.47 Rb.upf
Ca 40.08 Ca.upf
Cr 52.00 Cr.upf
O 16.00 O.upf
CELL_PARAMETERS angstrom
5.875 0.000 0.000
0.000 5.875 0.000
0.000 0.000 6.381
ATOMIC_POSITIONS crystal
Rb 0.000 0.000 0.000
Ca 0.000 0.500 0.500
Ca 0.500 0.000 0.500
Cr 0.000 0.000 0.500
O 0.500 0.500 0.000



! RbCaCr2O8 | the Alexandria database | PBE+U | optimized geometry; values from VASP
! - calculated total energy (eV/atom) = -6.3896
&SYSTEM
  ibrav = 0, nat = 12, ntyp = 4
/
ATOMIC_SPECIES
Rb 85.47 Rb.upf
Ca 40.08 Ca.upf
Cr 52.00 Cr.upf
O 16.00 O.upf
CELL_PARAMETERS angstrom
5.824 0.000 0.000
-2.912 5.044 0.000
0.000 0.000 8.116
ATOMIC_POSITIONS crystal
Rb 0.000 0.000 0.000
Ca 0.000 0.000 0.500
Cr 0.333 0.667 0.753
Cr 0.667 0.333 0.247
O 0.177 0.354 0.685
O 0.177 0.823 0.685
O 0.333 0.667 0.955
O 0.354 0.177 0.315
O 0.646 0.823 0.685
O 0.667 0.333 0.045
O 0.823 0.177 0.315
O 0.823 0.646 0.315



! RbCa2CrO | the Alexandria database | PBE+U | optimized geometry; values from VASP
! - E above lowest polymorph (eV per formula unit) = 0.00
&SYSTEM
  ibrav = 0, nat = 5, ntyp = 4
/
ATOMIC_SPECIES
Rb 85.47 Rb.upf
Ca 40.08 Ca.upf
Cr 52.00 Cr.upf
O 16.00 O.upf
CELL_PARAMETERS angstrom
4.769 0.000 0.000
0.000 4.769 0.000
0.000 0.000 7.213
ATOMIC_POSITIONS crystal
Rb 0.000 0.000 0.000
Ca 0.000 0.500 0.500
Ca 0.500 0.000 0.500
Cr 0.500 0.500 0.000
O 0.500 0.500 0.500



! RbCaCrO4 | the Alexandria database | PBE+U | optimized geometry; values from VASP
! - calculated total energy (eV/atom) = -6.3293
&SYSTEM
  ibrav = 0, nat = 14, ntyp = 4
/
ATOMIC_SPECIES
Rb 85.47 Rb.upf
Ca 40.08 Ca.upf
Cr 52.00 Cr.upf
O 16.00 O.upf
CELL_PARAMETERS angstrom
5.857 0.000 0.000
0.000 5.974 0.000
-2.118 0.000 7.257
ATOMIC_POSITIONS crystal
Rb 0.222 0.250 0.436
Rb 0.778 0.750 0.564
Ca 0.301 0.250 0.957
Ca 0.699 0.750 0.043
Cr 0.240 0.750 0.157
Cr 0.760 0.250 0.843
O 0.061 0.750 0.938
O 0.073 0.750 0.310
O 0.439 0.525 0.182
O 0.439 0.975 0.182
O 0.561 0.025 0.818
O 0.561 0.475 0.818
O 0.927 0.250 0.690
O 0.939 0.250 0.062



Density, record by record: 3.9 5.5 5.8 5.6 1.8 2.5 2.4 3.2 g/cm³